Tb6CeY2Tm3: optimized geometry, PBE.

Results
- symmetry = C2/m

a = 6.139 Å, b = 6.139 Å, c = 11.743 Å
α = 95.00°, β = 95.00°, γ = 119.98°
Sites, in units of the cell vectors:
Tb: 0.084 0.415 0.752
Tb: 0.247 0.247 0.248
Tb: 0.415 0.084 0.752
Tb: 0.585 0.916 0.248
Tb: 0.753 0.753 0.752
Tb: 0.916 0.585 0.248
Ce: 0.000 0.000 0.500
Y: 0.333 0.667 0.500
Y: 0.667 0.333 0.500
Tm: 0.167 0.833 0.000
Tm: 0.500 0.500 0.000
Tm: 0.833 0.167 0.000

Tb3CeY2Tm6: optimized geometry, PBE.

Results
- symmetry = C2/m

a = 6.107 Å, b = 6.107 Å, c = 11.655 Å
α = 95.01°, β = 95.01°, γ = 119.97°
Sites, in units of the cell vectors:
Tb: 0.000 0.000 0.000
Tb: 0.332 0.668 0.000
Tb: 0.668 0.332 0.000
Ce: 0.500 0.500 0.500
Y: 0.167 0.833 0.500
Y: 0.833 0.167 0.500
Tm: 0.086 0.416 0.250
Tm: 0.253 0.253 0.750
Tm: 0.416 0.086 0.250
Tm: 0.584 0.914 0.750
Tm: 0.747 0.747 0.250
Tm: 0.914 0.584 0.750

TbCeTmZr: optimized geometry, PBE.

Results
- symmetry = F-43m

a = 7.688 Å, b = 7.688 Å, c = 7.688 Å
α = 90.00°, β = 90.00°, γ = 90.00°
Sites, in units of the cell vectors:
Tb: 0.000 0.000 0.000
Tb: 0.000 0.500 0.500
Tb: 0.500 0.000 0.500
Tb: 0.500 0.500 0.000
Ce: 0.000 0.000 0.500
Ce: 0.000 0.500 0.000
Ce: 0.500 0.000 0.000
Ce: 0.500 0.500 0.500
Tm: 0.250 0.250 0.750
Tm: 0.250 0.750 0.250
Tm: 0.750 0.250 0.250
Tm: 0.750 0.750 0.750
Zr: 0.250 0.250 0.250
Zr: 0.250 0.750 0.750
Zr: 0.750 0.250 0.750
Zr: 0.750 0.750 0.250

Tb2CeU: optimized geometry, PBE.

Results
- symmetry = R-3m

a = 3.260 Å, b = 3.260 Å, c = 36.445 Å
α = 90.00°, β = 90.00°, γ = 120.00°
Sites, in units of the cell vectors:
Tb: 0.000 0.000 0.088
Tb: 0.000 0.000 0.912
Tb: 0.333 0.667 0.579
Tb: 0.333 0.667 0.754
Tb: 0.667 0.333 0.246
Tb: 0.667 0.333 0.421
Ce: 0.000 0.000 0.500
Ce: 0.333 0.667 0.167
Ce: 0.667 0.333 0.833
U: 0.000 0.000 0.000
U: 0.333 0.667 0.667
U: 0.667 0.333 0.333

TbCeU: optimized geometry, PBE.

Results
- symmetry = I4mm

a = 3.152 Å, b = 3.152 Å, c = 15.786 Å
α = 90.00°, β = 90.00°, γ = 90.00°
Sites, in units of the cell vectors:
Tb: 0.000 0.000 0.000
Tb: 0.500 0.500 0.500
Ce: 0.000 0.000 0.311
Ce: 0.500 0.500 0.811
U: 0.000 0.000 0.660
U: 0.500 0.500 0.160

TbCeU: optimized geometry, PBE.

Results
- symmetry = Pnma

a = 10.345 Å, b = 5.128 Å, c = 6.310 Å
α = 90.00°, β = 90.00°, γ = 90.00°
Sites, in units of the cell vectors:
Tb: 0.086 0.250 0.088
Tb: 0.414 0.750 0.588
Tb: 0.586 0.250 0.412
Tb: 0.914 0.750 0.912
Ce: 0.204 0.250 0.584
Ce: 0.296 0.750 0.084
Ce: 0.704 0.250 0.916
Ce: 0.796 0.750 0.416
U: 0.064 0.750 0.460
U: 0.436 0.250 0.960
U: 0.564 0.750 0.040
U: 0.936 0.250 0.540

Final energy (eV per atom)
-4.96, -4.93, -5.69, -6.18, -6.98, -6.93
DOS(E_F) (states/eV/cell)
19.810, 18.688, 37.503, 26.633, 16.683, 32.064